P.
This record from Alexandria via LeMat-Bulk describes crystalline Rb2ZnAs at its relaxed geometry. The functional is PBE-GGA.

Structure (CIF):
```
data_Rb2ZnAs
_cell_length_a 8.4138
_cell_length_b 8.4138
_cell_length_c 8.4138
_cell_angle_alpha 90.00
_cell_angle_beta 90.00
_cell_angle_gamma 90.00
_space_group_name_H-M_alt 'F m -3 m'
_space_group_IT_number 225
_space_group_name_Hall '-F 4 2 3'
loop_
_atom_site_label
_atom_site_fract_x
_atom_site_fract_y
_atom_site_fract_z
Rb1 0.2500 0.2500 0.2500
Zn1 0.0000 0.0000 0.0000
As1 0.0000 0.0000 0.5000
```

Computed properties:
Size of the total moment ... 1.00 μB/f.u.
Crystal system ... cubic
DOS at the Fermi energy ... 2.949 states/eV/f.u.

Q.
This record from Alexandria via LeMat-Bulk describes crystalline Rb2ZnAs at its relaxed geometry. The functional is PBE-GGA.

Structure (CIF):
```
data_Rb2ZnAs
_cell_length_a 12.2647
_cell_length_b 5.0668
_cell_length_c 11.9888
_cell_angle_alpha 90.00
_cell_angle_beta 119.45
_cell_angle_gamma 90.00
_space_group_name_H-M_alt 'C 1 2/c 1'
_space_group_IT_number 15
_space_group_name_Hall '-C 2yc'
loop_
_atom_site_label
_atom_site_fract_x
_atom_site_fract_y
_atom_site_fract_z
Rb1 0.1745 0.0733 0.0905
Zn1 0.0000 0.3292 0.2500
As1 0.0000 0.1726 0.7500
```

Computed properties:
Size of the total moment ... 0.00 μB/f.u.
Crystal system ... monoclinic
DOS at the Fermi energy ... 1.115 states/eV/f.u.

Stability, highest: Q

P.
This record from Alexandria via LeMat-Bulk describes crystalline Rb2ZnAs at its relaxed geometry. The functional is PBE-GGA.

Structure (CIF):
```
data_Rb2ZnAs
_cell_length_a 5.2820
_cell_length_b 5.2820
_cell_length_c 22.7004
_cell_angle_alpha 90.00
_cell_angle_beta 90.00
_cell_angle_gamma 90.00
_space_group_name_H-M_alt 'I -4 2 d'
_space_group_IT_number 122
_space_group_name_Hall 'I -4 2bw'
loop_
_atom_site_label
_atom_site_fract_x
_atom_site_fract_y
_atom_site_fract_z
Rb1 0.2504 0.2500 0.1250
Zn1 0.0000 0.0000 0.0000
As1 0.0000 0.0000 0.5000
```

Computed properties:
Size of the total moment ... 0.00 μB/f.u.
Crystal system ... tetragonal
DOS at the Fermi energy ... 2.788 states/eV/f.u.

Q.
This record from Alexandria via LeMat-Bulk describes crystalline Rb2ZnAs at its relaxed geometry. The functional is PBE-GGA.

Structure (CIF):
```
data_Rb2ZnAs
_cell_length_a 6.5445
_cell_length_b 6.0881
_cell_length_c 7.6654
_cell_angle_alpha 90.00
_cell_angle_beta 103.42
_cell_angle_gamma 90.00
_space_group_name_H-M_alt 'P 1 21/m 1'
_space_group_IT_number 11
_space_group_name_Hall '-P 2yb'
loop_
_atom_site_label
_atom_site_fract_x
_atom_site_fract_y
_atom_site_fract_z
Rb1 0.0388 0.2500 0.1587
Rb2 0.3013 0.7500 0.5051
Zn1 0.5000 0.0000 0.0000
As1 0.2954 0.2500 0.7750
```

Computed properties:
Size of the total moment ... 0.00 μB/f.u.
Crystal system ... monoclinic
DOS at the Fermi energy ... 2.771 states/eV/f.u.

Stability, highest: Q

P.
This record from Alexandria via LeMat-Bulk describes crystalline RbZrAs2 at its relaxed geometry. The functional is PBE-GGA.

Structure (CIF):
```
data_RbZrAs2
_cell_length_a 4.0537
_cell_length_b 4.0537
_cell_length_c 23.9584
_cell_angle_alpha 90.00
_cell_angle_beta 90.00
_cell_angle_gamma 120.00
_space_group_name_H-M_alt 'R -3 m'
_space_group_IT_number 166
_space_group_name_Hall '-R 3 2"'
loop_
_atom_site_label
_atom_site_fract_x
_atom_site_fract_y
_atom_site_fract_z
Rb1 0.0000 0.0000 0.0000
Zr1 0.0000 0.0000 0.5000
As1 0.0000 0.0000 0.2269
```

Computed properties:
Size of the total moment ... 0.00 μB/f.u.
Crystal system ... trigonal
DOS at the Fermi energy ... 2.678 states/eV/f.u.

Q.
This record from Alexandria via LeMat-Bulk describes crystalline RbZrAs2 at its relaxed geometry. The functional is PBE-GGA.

Structure (CIF):
```
data_RbZrAs2
_cell_length_a 6.4550
_cell_length_b 6.4550
_cell_length_c 15.8380
_cell_angle_alpha 90.00
_cell_angle_beta 90.00
_cell_angle_gamma 90.00
_space_group_name_H-M_alt 'I -4 2 d'
_space_group_IT_number 122
_space_group_name_Hall 'I -4 2bw'
loop_
_atom_site_label
_atom_site_fract_x
_atom_site_fract_y
_atom_site_fract_z
Rb1 0.0000 0.0000 0.0000
Zr1 0.0000 0.0000 0.5000
As1 0.0065 0.2500 0.6250
```

Computed properties:
Size of the total moment ... 0.00 μB/f.u.
Crystal system ... tetragonal
DOS at the Fermi energy ... 1.163 states/eV/f.u.

R.
This record from Alexandria via LeMat-Bulk describes crystalline RbZrAs2 at its relaxed geometry. The functional is PBE-GGA.

Structure (CIF):
```
data_RbZrAs2
_cell_length_a 7.2419
_cell_length_b 7.2419
_cell_length_c 7.2419
_cell_angle_alpha 90.00
_cell_angle_beta 90.00
_cell_angle_gamma 90.00
_space_group_name_H-M_alt 'F m -3 m'
_space_group_IT_number 225
_space_group_name_Hall '-F 4 2 3'
loop_
_atom_site_label
_atom_site_fract_x
_atom_site_fract_y
_atom_site_fract_z
Rb1 0.0000 0.0000 0.0000
Zr1 0.0000 0.0000 0.5000
As1 0.2500 0.2500 0.2500
```

Computed properties:
Size of the total moment ... 0.00 μB/f.u.
Crystal system ... cubic
DOS at the Fermi energy ... 1.961 states/eV/f.u.

Stability, highest: P

P.
This record from Alexandria via LeMat-Bulk describes crystalline Rb2ZrAs2 at its relaxed geometry. The functional is PBE-GGA.

Structure (CIF):
```
data_Rb2ZrAs2
_cell_length_a 7.7324
_cell_length_b 14.0264
_cell_length_c 6.9782
_cell_angle_alpha 90.00
_cell_angle_beta 90.00
_cell_angle_gamma 90.00
_space_group_name_H-M_alt 'I b a m'
_space_group_IT_number 72
_space_group_name_Hall '-I 2 2c'
loop_
_atom_site_label
_atom_site_fract_x
_atom_site_fract_y
_atom_site_fract_z
Rb1 0.1427 0.1528 0.0000
Zr1 0.0000 0.5000 0.2500
As1 0.1845 0.4024 0.0000
```

Computed properties:
Size of the total moment ... 0.00 μB/f.u.
Crystal system ... orthorhombic

Q.
This record from Alexandria via LeMat-Bulk describes crystalline Rb2ZrAs2 at its relaxed geometry. The functional is PBE-GGA.

Structure (CIF):
```
data_Rb2ZrAs2
_cell_length_a 7.1763
_cell_length_b 7.1763
_cell_length_c 5.9903
_cell_angle_alpha 90.00
_cell_angle_beta 90.00
_cell_angle_gamma 90.00
_space_group_name_H-M_alt 'P 4/m b m'
_space_group_IT_number 127
_space_group_name_Hall '-P 4 2ab'
loop_
_atom_site_label
_atom_site_fract_x
_atom_site_fract_y
_atom_site_fract_z
Rb1 0.1699 0.3301 0.0000
Zr1 0.0000 0.0000 0.5000
As1 0.1356 0.6356 0.5000
```

Computed properties:
Size of the total moment ... 1.38 μB/f.u.
Crystal system ... tetragonal
DOS at the Fermi energy ... 3.803 states/eV/f.u.

Stability, highest: P

P.
This record from Alexandria via LeMat-Bulk describes crystalline RbZr3As at its relaxed geometry. The functional is PBE-GGA.

Structure (CIF):
```
data_RbZr3As
_cell_length_a 5.0314
_cell_length_b 5.0314
_cell_length_c 5.0314
_cell_angle_alpha 90.00
_cell_angle_beta 90.00
_cell_angle_gamma 90.00
_space_group_name_H-M_alt 'P m -3 m'
_space_group_IT_number 221
_space_group_name_Hall '-P 4 2 3'
loop_
_atom_site_label
_atom_site_fract_x
_atom_site_fract_y
_atom_site_fract_z
Rb1 0.0000 0.0000 0.0000
Zr1 0.0000 0.0000 0.5000
As1 0.5000 0.5000 0.5000
```

Computed properties:
Size of the total moment ... 1.99 μB/f.u.
Crystal system ... cubic
DOS at the Fermi energy ... 7.255 states/eV/f.u.

Q.
This record from Alexandria via LeMat-Bulk describes crystalline RbZr3As at its relaxed geometry. The functional is PBE-GGA.

Structure (CIF):
```
data_RbZr3As
_cell_length_a 5.2482
_cell_length_b 5.2482
_cell_length_c 5.2482
_cell_angle_alpha 90.00
_cell_angle_beta 90.00
_cell_angle_gamma 90.00
_space_group_name_H-M_alt 'P m -3 m'
_space_group_IT_number 221
_space_group_name_Hall '-P 4 2 3'
loop_
_atom_site_label
_atom_site_fract_x
_atom_site_fract_y
_atom_site_fract_z
Rb1 0.0000 0.0000 0.0000
Zr1 0.0000 0.5000 0.5000
As1 0.5000 0.5000 0.5000
```

Computed properties:
Size of the total moment ... 0.00 μB/f.u.
Crystal system ... cubic
DOS at the Fermi energy ... 7.496 states/eV/f.u.

Stability, highest: Q

P.
This record from Alexandria via LeMat-Bulk describes crystalline Re3As2 at its relaxed geometry. The functional is PBE-GGA.

Structure (CIF):
```
data_Re3As2
_cell_length_a 10.9314
_cell_length_b 11.0304
_cell_length_c 5.2741
_cell_angle_alpha 90.00
_cell_angle_beta 90.00
_cell_angle_gamma 90.00
_space_group_name_H-M_alt 'F d d 2'
_space_group_IT_number 43
_space_group_name_Hall 'F 2 -2d'
loop_
_atom_site_label
_atom_site_fract_x
_atom_site_fract_y
_atom_site_fract_z
Re1 0.0000 0.0000 0.0000
Re2 0.0869 0.0835 0.4667
As1 0.0316 0.3017 0.2927
```

Computed properties:
Size of the total moment ... 0.00 μB/f.u.
Crystal system ... orthorhombic
DOS at the Fermi energy ... 4.334 states/eV/f.u.

Q.
This record from Alexandria via LeMat-Bulk describes crystalline Re3As2 at its relaxed geometry. The functional is PBE-GGA.

Structure (CIF):
```
data_Re3As2
_cell_length_a 4.2068
_cell_length_b 4.2068
_cell_length_c 5.2708
_cell_angle_alpha 90.00
_cell_angle_beta 90.00
_cell_angle_gamma 120.00
_space_group_name_H-M_alt 'P -3 m 1'
_space_group_IT_number 164
_space_group_name_Hall '-P 3 2"'
loop_
_atom_site_label
_atom_site_fract_x
_atom_site_fract_y
_atom_site_fract_z
Re1 0.0000 0.0000 0.0000
Re2 0.3333 0.6667 0.3136
As1 0.3333 0.6667 0.7909
```

Computed properties:
Size of the total moment ... 0.00 μB/f.u.
Crystal system ... trigonal
DOS at the Fermi energy ... 4.911 states/eV/f.u.

Stability, highest: P